(1)
Computed, not measured: crystalline GdHoScZn at its relaxed geometry at the PBE-GGA level of DFT.

Cell: 5.2184 5.2184 5.2184 Å, 60.00 60.00 60.00°
Last column: nearest neighbours and their distance in Å.
Positions (direct):
Sc (0.7500, 0.7500, 0.7500)  4 Gd 3.20, 4 Ho 3.20
Zn (0.2500, 0.2500, 0.2500)  4 Gd 3.20, 4 Ho 3.20
Gd (0.0000, 0.0000, 0.0000)  4 Zn 3.20, 4 Sc 3.20
Ho (0.5000, 0.5000, 0.5000)  4 Sc 3.20, 4 Zn 3.20

The value obtained for the formation energy from the elements is -1.03 kJ per mole of atoms. For the mass density, the calculation gives 7.15 Mg/m³. As for the space group: F-43m (216). For the density of states at the Fermi level, the calculation gives 4.69 states/eV/cell.



(2)
Computed, not measured: crystalline GdHoSe at its relaxed geometry at the PBE-GGA level of DFT.

Cell: 3.8597 3.8597 6.5623 Å, 90.00 90.00 120.00°
Last column: nearest neighbours and their distance in Å.
Positions (direct):
Gd (0.3333, 0.6667, 0.6171)  3 Se 2.92
Ho (0.0000, 0.0000, 0.0525)  3 Se 2.88
Se (0.6667, 0.3333, 0.3304)  3 Ho 2.88, 3 Gd 2.92

The value obtained for the energy relative to the elements, uncorrected is -1.1282 eV/atom. For the mass density, the calculation gives 7.87 Mg/m³. As for the space group: P3m1 (156). For the density of states at the Fermi level, the calculation gives 3.28 states/eV/cell.



(3)
Computed, not measured: crystalline GdHo2Si at its relaxed geometry at the PBE-GGA level of DFT.

Cell: 4.5889 4.6459 4.6459 Å, 90.00 90.00 90.00°
Last column: nearest neighbours and their distance in Å.
Positions (direct):
Si (0.5000, 0.0000, 0.0000)  8 Ho 3.27, 4 Gd 3.29
Gd (0.5000, 0.5000, 0.5000)  8 Ho 3.27, 4 Si 3.29
Ho (0.0000, 0.0000, 0.5000)  4 Gd 3.27, 4 Si 3.27, 4 Ho 3.29
Ho (0.0000, 0.5000, 0.0000)  4 Gd 3.27, 4 Si 3.27, 4 Ho 3.29

The value obtained for the energy relative to the elements, uncorrected is -0.2658 eV/atom. For the mass density, the calculation gives 8.64 Mg/m³. As for the space group: P4/mmm (123). For the density of states at the Fermi level, the calculation gives 4.21 states/eV/cell.



(4)
Computed, not measured: crystalline GdHo2Si at its relaxed geometry at the PBE-GGA level of DFT.

Cell: 3.6511 3.6511 10.1063 Å, 79.59 79.59 60.00°
Last column: nearest neighbours and their distance in Å.
Positions (direct):
Si (0.0000, 0.0000, 0.0000)  6 Ho 2.85
Gd (0.5000, 0.5000, 0.5000)  6 Gd 3.65, 6 Ho 3.69
Ho (0.2687, 0.2687, 0.1940)  3 Si 2.85
Ho (0.7313, 0.7313, 0.8060)  3 Si 2.85

The value obtained for the energy relative to the elements, uncorrected is -0.1557 eV/atom. For the mass density, the calculation gives 7.50 Mg/m³. As for the space group: R-3m (166). For the density of states at the Fermi level, the calculation gives 5.87 states/eV/cell.



(5)
Computed, not measured: crystalline GdHoZnSi at its relaxed geometry at the PBE-GGA level of DFT.

Cell: 4.9866 4.9866 4.9866 Å, 60.00 60.00 60.00°
Last column: nearest neighbours and their distance in Å.
Positions (direct):
Zn (0.2500, 0.2500, 0.2500)  4 Ho 3.05, 4 Gd 3.05
Gd (0.0000, 0.0000, 0.0000)  4 Si 3.05, 4 Zn 3.05
Si (0.7500, 0.7500, 0.7500)  4 Ho 3.05, 4 Gd 3.05
Ho (0.5000, 0.5000, 0.5000)  4 Si 3.05, 4 Zn 3.05

The value obtained for the energy relative to the elements, uncorrected is -0.4611 eV/atom. For the mass density, the calculation gives 7.87 Mg/m³. As for the space group: F-43m (216). For the density of states at the Fermi level, the calculation gives 2.57 states/eV/cell.



(6)
Computed, not measured: crystalline SmGdHo at its relaxed geometry at the PBE-GGA level of DFT.

Cell: 3.5835 3.5835 8.7463 Å, 90.00 90.00 120.00°
Last column: nearest neighbours and their distance in Å.
Positions (direct):
Gd (0.6667, 0.3333, 0.3362)  3 Ho 3.55, 6 Gd 3.58, 3 Sm 3.62
Ho (0.3333, 0.6667, 0.6667)  3 Sm 3.55, 3 Gd 3.55, 6 Ho 3.58
Sm (0.0000, 0.0000, 0.9971)  3 Ho 3.55, 6 Sm 3.58, 3 Gd 3.62

The value obtained for the formation energy from the elements is 1.93 kJ per mole of atoms. For the mass density, the calculation gives 8.07 Mg/m³. As for the space group: P3m1 (156). For the density of states at the Fermi level, the calculation gives 4.50 states/eV/cell.



(7)
Computed, not measured: crystalline SmGdHo at its relaxed geometry at the PBE-GGA level of DFT.

Cell: 3.5906 3.5906 7.9653 Å, 103.03 103.03 90.00°
Last column: nearest neighbours and their distance in Å.
Positions (direct):
Gd (0.3322, 0.3322, 0.6645)  4 Ho 3.57, 4 Gd 3.59, 4 Sm 3.60
Ho (0.6662, 0.6662, 0.3324)  4 Sm 3.55, 4 Gd 3.57, 4 Ho 3.59
Sm (0.0015, 0.0015, 0.0031)  4 Ho 3.55, 4 Sm 3.59, 4 Gd 3.60

The value obtained for the formation energy from the elements is 2.01 kJ per mole of atoms. For the mass density, the calculation gives 8.06 Mg/m³. As for the space group: I4mm (107). For the density of states at the Fermi level, the calculation gives 4.86 states/eV/cell.



(8)
Computed, not measured: crystalline SmGdHo2 at its relaxed geometry at the PBE-GGA level of DFT.

Cell: 3.5692 3.5692 10.0553 Å, 90.00 90.00 90.00°
Last column: nearest neighbours and their distance in Å.
Positions (direct):
Gd (0.5000, 0.5000, 0.0000)  8 Ho 3.56, 4 Gd 3.57
Ho (0.0000, 0.0000, 0.7506)  4 Gd 3.56, 4 Sm 3.57, 4 Ho 3.57
Ho (0.0000, 0.0000, 0.2494)  4 Gd 3.56, 4 Sm 3.57, 4 Ho 3.57
Sm (0.5000, 0.5000, 0.5000)  8 Ho 3.57, 4 Sm 3.57

The value obtained for the formation energy from the elements is 2.26 kJ per mole of atoms. For the mass density, the calculation gives 8.26 Mg/m³. As for the space group: P4/mmm (123). For the density of states at the Fermi level, the calculation gives 6.08 states/eV/cell.



(9)
Computed, not measured: crystalline SmGdHo2 at its relaxed geometry at the PBE-GGA level of DFT.

Cell: 5.6802 5.6802 5.6802 Å, 60.00 60.00 60.00°
Last column: nearest neighbours and their distance in Å.
Positions (direct):
Gd (0.0000, 0.0000, 0.0000)  8 Ho 3.48
Ho (0.2500, 0.2500, 0.2500)  4 Gd 3.48, 4 Sm 3.48
Ho (0.7500, 0.7500, 0.7500)  4 Sm 3.48, 4 Gd 3.48
Sm (0.5000, 0.5000, 0.5000)  8 Ho 3.48

The value obtained for the formation energy from the elements is 11.23 kJ per mole of atoms. For the mass density, the calculation gives 8.17 Mg/m³. As for the space group: Fm-3m (225). For the density of states at the Fermi level, the calculation gives 8.71 states/eV/cell.



(10)
Computed, not measured: crystalline Sm4GdHo at its relaxed geometry at the PBE-GGA level of DFT.

Cell: 6.6473 6.6473 6.6473 Å, 60.00 60.00 60.00°
Last column: nearest neighbours and their distance in Å.
Positions (direct):
Gd (0.2500, 0.2500, 0.2500)  12 Sm 3.90, 4 Ho 4.07
Ho (0.0000, 0.0000, 0.0000)  12 Sm 3.90, 4 Gd 4.07
Sm (0.6257, 0.6257, 0.1230)  6 Sm 3.31-3.34
Sm (0.6257, 0.1230, 0.6257)  6 Sm 3.31-3.34
Sm (0.6257, 0.6257, 0.6257)  6 Sm 3.31-3.34
Sm (0.1230, 0.6257, 0.6257)  6 Sm 3.31-3.34

The value obtained for the formation energy from the elements is 23.92 kJ per mole of atoms. For the mass density, the calculation gives 7.38 Mg/m³. As for the space group: F-43m (216). For the density of states at the Fermi level, the calculation gives 11.51 states/eV/cell.



(11)
Computed, not measured: crystalline SmGdHo4 at its relaxed geometry at the PBE-GGA level of DFT.

Cell: 6.5798 6.5798 6.5798 Å, 60.00 60.00 60.00°
Last column: nearest neighbours and their distance in Å.
Positions (direct):
Gd (0.0000, 0.0000, 0.0000)  12 Ho 3.86, 4 Sm 4.03
Ho (0.6247, 0.6247, 0.1260)  6 Ho 3.28-3.30
Ho (0.6247, 0.1260, 0.6247)  6 Ho 3.28-3.30
Ho (0.6247, 0.6247, 0.6247)  6 Ho 3.28-3.30
Ho (0.1260, 0.6247, 0.6247)  6 Ho 3.28-3.30
Sm (0.2500, 0.2500, 0.2500)  12 Ho 3.86, 4 Gd 4.03

The value obtained for the formation energy from the elements is 24.60 kJ per mole of atoms. For the mass density, the calculation gives 7.97 Mg/m³. As for the space group: F-43m (216). For the density of states at the Fermi level, the calculation gives 12.76 states/eV/cell.



(12)
Computed, not measured: crystalline SmGdHo2 at its relaxed geometry at the PBE-GGA level of DFT.

Cell: 5.0146 5.0489 5.0489 Å, 90.00 90.00 90.00°
Last column: nearest neighbours and their distance in Å.
Positions (direct):
Gd (0.5000, 0.5000, 0.5000)  8 Ho 3.56, 4 Sm 3.57
Ho (0.0000, 0.0000, 0.5000)  4 Gd 3.56, 4 Sm 3.56, 4 Ho 3.57
Ho (0.0000, 0.5000, 0.0000)  4 Gd 3.56, 4 Sm 3.56, 4 Ho 3.57
Sm (0.5000, 0.0000, 0.0000)  8 Ho 3.56, 4 Gd 3.57

The value obtained for the formation energy from the elements is 1.71 kJ per mole of atoms. For the mass density, the calculation gives 8.28 Mg/m³. As for the space group: P4/mmm (123). For the density of states at the Fermi level, the calculation gives 6.45 states/eV/cell.



(13)
Computed, not measured: crystalline TbSmGdHo at its relaxed geometry at the PBE-GGA level of DFT.

Cell: 5.6939 5.6939 5.6939 Å, 60.00 60.00 60.00°
Last column: nearest neighbours and their distance in Å.
Positions (direct):
Gd (0.7500, 0.7500, 0.7500)  4 Ho 3.49, 4 Tb 3.49
Tb (0.0000, 0.0000, 0.0000)  4 Sm 3.49, 4 Gd 3.49
Ho (0.5000, 0.5000, 0.5000)  4 Gd 3.49, 4 Sm 3.49
Sm (0.2500, 0.2500, 0.2500)  4 Tb 3.49, 4 Ho 3.49

The value obtained for the formation energy from the elements is 11.59 kJ per mole of atoms. For the mass density, the calculation gives 8.03 Mg/m³. As for the space group: F-43m (216). For the density of states at the Fermi level, the calculation gives 8.52 states/eV/cell.



(14)
Computed, not measured: crystalline SmGdHoTh at its relaxed geometry at the PBE-GGA level of DFT.

Cell: 5.6920 5.6920 5.6920 Å, 60.00 60.00 60.00°
Last column: nearest neighbours and their distance in Å.
Positions (direct):
Gd (0.5000, 0.5000, 0.5000)  4 Sm 3.49, 4 Th 3.49
Sm (0.2500, 0.2500, 0.2500)  4 Ho 3.49, 4 Gd 3.49
Ho (0.0000, 0.0000, 0.0000)  4 Sm 3.49, 4 Th 3.49
Th (0.7500, 0.7500, 0.7500)  4 Gd 3.49, 4 Ho 3.49

The value obtained for the formation energy from the elements is 14.41 kJ per mole of atoms. For the mass density, the calculation gives 8.97 Mg/m³. As for the space group: F-43m (216). For the density of states at the Fermi level, the calculation gives 8.12 states/eV/cell.



(15)
Computed, not measured: crystalline SmGdHoTm at its relaxed geometry at the PBE-GGA level of DFT.

Cell: 5.6643 5.6643 5.6643 Å, 60.00 60.00 60.00°
Last column: nearest neighbours and their distance in Å.
Positions (direct):
Gd (0.7500, 0.7500, 0.7500)  4 Tm 3.47, 4 Ho 3.47
Tm (0.5000, 0.5000, 0.5000)  4 Gd 3.47, 4 Sm 3.47
Ho (0.0000, 0.0000, 0.0000)  4 Sm 3.47, 4 Gd 3.47
Sm (0.2500, 0.2500, 0.2500)  4 Ho 3.47, 4 Tm 3.47

The value obtained for the formation energy from the elements is 10.65 kJ per mole of atoms. For the mass density, the calculation gives 8.29 Mg/m³. As for the space group: F-43m (216). For the density of states at the Fermi level, the calculation gives 8.31 states/eV/cell.



(16)
Computed, not measured: crystalline GdHo2Sn at its relaxed geometry at the PBE-GGA level of DFT.

Cell: 4.1141 4.1141 6.7838 Å, 90.00 90.00 90.00°
Last column: nearest neighbours and their distance in Å.
Positions (direct):
Gd (0.5000, 0.5000, 0.5000)  2 Sn 3.39, 8 Ho 3.44
Ho (0.0000, 0.0000, 0.7710)  1 Ho 3.11, 4 Sn 3.30, 4 Gd 3.44
Ho (0.0000, 0.0000, 0.2290)  1 Ho 3.11, 4 Sn 3.30, 4 Gd 3.44
Sn (0.5000, 0.5000, 0.0000)  8 Ho 3.30, 2 Gd 3.39

The value obtained for the formation energy from the elements is -29.99 kJ per mole of atoms. For the mass density, the calculation gives 8.76 Mg/m³. As for the space group: P4/mmm (123). For the density of states at the Fermi level, the calculation gives 4.92 states/eV/cell.



(17)
Computed, not measured: crystalline Gd2HoSn at its relaxed geometry at the PBE-GGA level of DFT.

Cell: 3.5156 3.5156 12.1716 Å, 81.70 81.70 60.00°
Last column: nearest neighbours and their distance in Å.
Positions (direct):
Gd (0.0874, 0.0874, 0.7378)  1 Sn 3.15, 3 Ho 3.50, 6 Gd 3.52
Gd (0.9126, 0.9126, 0.2622)  1 Sn 3.15, 3 Ho 3.50, 6 Gd 3.52
Ho (0.5000, 0.5000, 0.5000)  6 Gd 3.50, 6 Ho 3.52
Sn (0.0000, 0.0000, 0.0000)  2 Gd 3.15, 6 Sn 3.52

The value obtained for the formation energy from the elements is 5.29 kJ per mole of atoms. For the mass density, the calculation gives 7.73 Mg/m³. As for the space group: R-3m (166). For the density of states at the Fermi level, the calculation gives 5.24 states/eV/cell.



(18)
Computed, not measured: crystalline GdHoSn at its relaxed geometry at the PBE-GGA level of DFT.

Cell: 3.5526 3.5526 7.3340 Å, 104.02 104.02 90.00°
Last column: nearest neighbours and their distance in Å.
Positions (direct):
Gd (0.9873, 0.9873, 0.9745)  4 Sn 3.30, 4 Gd 3.55, 4 Ho 3.67
Ho (0.6811, 0.6811, 0.3622)  4 Sn 3.26, 4 Ho 3.55
Sn (0.3316, 0.3316, 0.6632)  4 Ho 3.26, 4 Gd 3.30, 4 Sn 3.55

The value obtained for the formation energy from the elements is -41.64 kJ per mole of atoms. For the mass density, the calculation gives 8.42 Mg/m³. As for the space group: I4mm (107). For the density of states at the Fermi level, the calculation gives 3.00 states/eV/cell.



(19)
Computed, not measured: crystalline GdHoSn at its relaxed geometry at the PBE-GGA level of DFT.

Cell: 5.1466 5.1466 5.1466 Å, 60.00 60.00 60.00°
Last column: nearest neighbours and their distance in Å.
Positions (direct):
Gd (0.0000, 0.0000, 0.0000)  4 Sn 3.15
Ho (0.5000, 0.5000, 0.5000)  4 Sn 3.15
Sn (0.2500, 0.2500, 0.2500)  4 Ho 3.15, 4 Gd 3.15

The value obtained for the formation energy from the elements is -38.98 kJ per mole of atoms. For the mass density, the calculation gives 7.59 Mg/m³. As for the space group: F-43m (216). For the density of states at the Fermi level, the calculation gives 4.97 states/eV/cell.



(20)
Computed, not measured: crystalline GdHo2Sn at its relaxed geometry at the PBE-GGA level of DFT.

Cell: 4.7619 4.8296 4.8296 Å, 90.00 90.00 90.00°
Last column: nearest neighbours and their distance in Å.
Positions (direct):
Gd (0.5000, 0.5000, 0.5000)  8 Ho 3.39, 4 Sn 3.42
Ho (0.0000, 0.0000, 0.5000)  4 Gd 3.39, 4 Sn 3.39, 4 Ho 3.42
Ho (0.0000, 0.5000, 0.0000)  4 Sn 3.39, 4 Gd 3.39, 4 Ho 3.42
Sn (0.5000, 0.0000, 0.0000)  8 Ho 3.39, 4 Gd 3.42

The value obtained for the formation energy from the elements is -41.24 kJ per mole of atoms. For the mass density, the calculation gives 9.06 Mg/m³. As for the space group: P4/mmm (123). For the density of states at the Fermi level, the calculation gives 4.66 states/eV/cell.